{
  "formula": "HoCuSi2Ir",
  "functional": "PBE-GGA",
  "state": "relaxed",
  "lattice": [[-1.1245, 3.4842, 1.6952], [-3.5416, -1.6402, 1.0218], [4.2732, -2.4075, 2.9818]],
  "species": ["Si", "Si", "Cu", "Ho", "Ir"],
  "fractional_positions": [[0.3816, 0.3816, 0.7632], [0.6184, 0.6184, 0.2368], [0.2500, 0.7500, 0.5000], [0.0000, 0.0000, 0.0000], [0.7500, 0.2500, 0.5000]],
  "formation_energy_uncorrected_ev_per_atom": -0.773
}